Record 1
# GGA-PBE Ge2Bi2Se, relaxed
data_Ge2Bi2Se
_chemical_formula_sum 'Ge4 Bi4 Se2'
_cell_length_a 8.193
_cell_length_b 8.193
_cell_length_c 4.117
_cell_angle_alpha 90.00
_cell_angle_beta 90.00
_cell_angle_gamma 90.00
_symmetry_space_group_name_H-M 'P 4/m b m'
_symmetry_Int_Tables_number 127
_symmetry_space_group_name_Hall '-P 4 2ab'
loop_
_atom_site_label
_atom_site_fract_x
_atom_site_fract_y
_atom_site_fract_z
Ge1 0.108 0.392 0.000
Bi1 0.199 0.699 0.500
Se1 0.000 0.000 0.500
# Offset from the most stable computed form (meV per atom): 0.0
# Magnetic moment (μB/atom): 0.000
# Uncorrected formation energy (eV per atom): 0.2272



Record 2
# GGA-PBE PmPrEr2, relaxed
data_PmPrEr2
_chemical_formula_sum 'Pm4 Pr4 Er8'
_cell_length_a 23.954
_cell_length_b 3.614
_cell_length_c 6.253
_cell_angle_alpha 90.00
_cell_angle_beta 105.10
_cell_angle_gamma 90.00
_symmetry_space_group_name_H-M 'C 1 m 1'
_symmetry_Int_Tables_number 8
loop_
_symmetry_equiv_pos_as_xyz
'x,y,z'
'x,-y,z'
'x+1/2,y+1/2,z'
'x+1/2,-y+1/2,z'
loop_
_atom_site_label
_atom_site_fract_x
_atom_site_fract_y
_atom_site_fract_z
Pm1 0.000 0.000 0.000
Pm2 0.250 0.000 0.250
Pr1 0.000 0.500 0.500
Pr2 0.250 0.500 0.750
Er1 0.125 0.000 0.457
Er2 0.125 0.500 0.958
Er3 0.375 0.000 0.043
Er4 0.375 0.500 0.542
# ΔE_f (kcal/mol of atoms): 0.08
# Offset from the most stable computed form (meV per atom): 0.0
# Magnetic moment (μB/atom): 0.000



Record 3
# GGA-PBE CePrNdDy, relaxed
data_CePrNdDy
_chemical_formula_sum 'Ce4 Pr4 Nd4 Dy4'
_cell_length_a 8.165
_cell_length_b 8.165
_cell_length_c 8.165
_cell_angle_alpha 90.00
_cell_angle_beta 90.00
_cell_angle_gamma 90.00
_symmetry_space_group_name_H-M 'F -4 3 m'
_symmetry_Int_Tables_number 216
_symmetry_space_group_name_Hall 'F -4 2 3'
loop_
_atom_site_label
_atom_site_fract_x
_atom_site_fract_y
_atom_site_fract_z
Ce1 0.000 0.000 0.000
Pr1 0.250 0.250 0.750
Nd1 0.250 0.250 0.250
Dy1 0.000 0.000 0.500
# ΔE_f (kcal/mol of atoms): 4.60
# Magnetic moment (μB/atom): 0.808



Record 4
# GGA-PBE CdCoCl2, relaxed
data_CdCoCl2
_chemical_formula_sum 'Cd2 Co2 Cl4'
_cell_length_a 3.633
_cell_length_b 5.787
_cell_length_c 8.755
_cell_angle_alpha 90.00
_cell_angle_beta 90.00
_cell_angle_gamma 90.00
_symmetry_space_group_name_H-M 'C m m 2'
_symmetry_Int_Tables_number 35
loop_
_symmetry_equiv_pos_as_xyz
'x,y,z'
'-x,-y,z'
'-x,y,z'
'x,-y,z'
'x+1/2,y+1/2,z'
'-x+1/2,-y+1/2,z'
'-x+1/2,y+1/2,z'
'x+1/2,-y+1/2,z'
loop_
_atom_site_label
_atom_site_fract_x
_atom_site_fract_y
_atom_site_fract_z
Cd1 0.000 0.000 0.000
Co1 0.000 0.500 0.762
Cl1 0.000 0.000 0.612
Cl2 0.000 0.500 0.204
# Offset from the most stable computed form (meV per atom): 173.6
# Magnetic moment (μB/atom): 0.493
# Uncorrected formation energy (eV per atom): -0.1823



Record 5
# GGA-PBE InCuIr2, relaxed
data_InCuIr2
_chemical_formula_sum 'In1 Cu1 Ir2'
_cell_length_a 2.835
_cell_length_b 4.254
_cell_length_c 5.333
_cell_angle_alpha 90.00
_cell_angle_beta 104.88
_cell_angle_gamma 90.00
_symmetry_space_group_name_H-M 'P 1 2/m 1'
_symmetry_Int_Tables_number 10
loop_
_symmetry_equiv_pos_as_xyz
'x,y,z'
'-x,-y,-z'
'-x,y,-z'
'x,-y,z'
loop_
_atom_site_label
_atom_site_fract_x
_atom_site_fract_y
_atom_site_fract_z
In1 0.000 0.000 0.000
Cu1 0.000 0.000 0.500
Ir1 0.369 0.500 0.727
# ΔE_f (kcal/mol of atoms): 2.67
# Magnetic moment (μB/atom): 0.000